Entry 1:
The following is a meta-GGA SCAN calculation of Tb4CuPt3 at its PBEsol-relaxed geometry, from Alexandria via LeMat-Bulk.

Geometry as CIF:
```
data_Tb4CuPt3
_space_group_name_H-M_alt 'P 1 m 1'
_space_group_IT_number 6
_space_group_name_Hall 'P -2y'
_cell_length_a 5.5002
_cell_length_b 4.4394
_cell_length_c 6.9936
_cell_angle_alpha 90.00
_cell_angle_beta 90.28
_cell_angle_gamma 90.00
loop_
_atom_site_label
_atom_site_type_symbol
_atom_site_fract_x
_atom_site_fract_y
_atom_site_fract_z
Tb1 Tb 0.0000 0.0000 0.0000
Tb2 Tb 0.2145 0.0000 0.4980
Tb3 Tb 0.4910 0.5000 0.8682
Tb4 Tb 0.7156 0.5000 0.3589
Cu1 Cu 0.7201 0.0000 0.6452
Pt1 Pt 0.2009 0.5000 0.2282
Pt2 Pt 0.5150 0.0000 0.1363
Pt3 Pt 0.9872 0.5000 0.7159
```

Results
The calculation puts the total DFT energy (no corrections) at -52.8254 eV/atom. The value obtained for the calculated formation energy is -1222 meV per atom.

---

Entry 2:
The following is a meta-GGA SCAN calculation of Tb2CuPt at its PBEsol-relaxed geometry, from Alexandria via LeMat-Bulk.

Geometry as CIF:
```
data_Tb2CuPt
_space_group_name_H-M_alt 'P m c 21'
_space_group_IT_number 26
_space_group_name_Hall 'P 2c -2'
_cell_length_a 4.3963
_cell_length_b 5.4620
_cell_length_c 7.0478
_cell_angle_alpha 90.00
_cell_angle_beta 90.00
_cell_angle_gamma 90.00
loop_
_atom_site_label
_atom_site_type_symbol
_atom_site_fract_x
_atom_site_fract_y
_atom_site_fract_z
Tb1 Tb 0.0000 0.1087 0.0000
Tb2 Tb 0.5000 0.3824 0.3658
Cu1 Cu 0.0000 0.3892 0.6457
Pt1 Pt 0.5000 0.1169 0.7202
```

Results
The calculation puts the total DFT energy (no corrections) at -45.6688 eV/atom. The value obtained for the calculated formation energy is -940 meV per atom.